#w
This record from Alexandria describes an optimized crystal structure of BeCdMo. The functional is PBEsol.

- total magnetization (μB per formula unit) = 0.0

Cell: 6.2197 6.2197 6.2197 Å, 154.92 154.92 35.77°
Sites, in units of the cell vectors:
Be1 0.0000 0.0000 0.0000
Cd1 0.6623 0.6623 0.0000
Mo1 0.3574 0.3574 0.0000



#x
This record from Alexandria describes an optimized crystal structure of BeCdMo. The functional is PBEsol.

- total magnetization (μB per formula unit) = 0.0

Cell: 2.7755 2.7755 6.6944 Å, 90.00 90.00 120.00°
Sites, in units of the cell vectors:
Be1 0.0000 0.0000 0.0000
Cd1 0.3333 0.6667 0.6677
Mo1 0.6667 0.3333 0.2914



Least stable = #x



#w
This record from Alexandria describes an optimized crystal structure of BeCdOs2. The functional is PBEsol.

- total magnetization (μB per formula unit) = 0.0

Cell: 3.7306 3.7306 4.0929 Å, 90.00 90.00 90.00°
Sites, in units of the cell vectors:
Be1 0.0000 0.0000 0.0000
Cd1 0.5000 0.5000 0.0000
Os1 0.0000 0.5000 0.5000
Os2 0.5000 0.0000 0.5000



#x
This record from Alexandria describes an optimized crystal structure of BeCdOs2. The functional is PBEsol.

- total magnetization (μB per formula unit) = 0.0

Cell: 2.6810 2.6810 8.5266 Å, 90.00 90.00 114.96°
Sites, in units of the cell vectors:
Be1 0.0000 0.0000 0.0000
Cd1 0.0000 0.0000 0.5000
Os1 0.5000 0.5000 0.2126
Os2 0.5000 0.5000 0.7874



Least stable = #w



#w
This record from Alexandria describes an optimized crystal structure of BeCdOs2. The functional is PBEsol.

- total magnetization (μB per formula unit) = 0.0

Cell: 4.2753 4.2753 4.2753 Å, 60.00 60.00 60.00°
Sites, in units of the cell vectors:
Be1 0.0000 0.0000 0.0000
Cd1 0.5000 0.5000 0.5000
Os1 0.2500 0.2500 0.2500
Os2 0.7500 0.7500 0.7500



#x
This record from Alexandria describes an optimized crystal structure of BeCdOs2. The functional is PBEsol.

- total magnetization (μB per formula unit) = 0.0

Cell: 5.1820 5.1820 5.1820 Å, 148.81 130.12 60.01°
Sites, in units of the cell vectors:
Be1 0.0000 0.0000 0.0000
Cd1 0.5000 0.5000 0.0000
Os1 0.2109 0.7109 0.5000
Os2 0.7891 0.2891 0.5000



Least stable = #w



#w
This record from Alexandria describes an optimized crystal structure of BeCd2P. The functional is PBEsol.

- total magnetization (μB per formula unit) = 0.0

Cell: 6.6901 6.6901 6.6901 Å, 31.25 31.25 31.25°
Sites, in units of the cell vectors:
Be1 0.0000 0.0000 0.0000
Cd1 0.5467 0.5467 0.5467
Cd2 0.7720 0.7720 0.7720
P1 0.3219 0.3219 0.3219



#x
This record from Alexandria describes an optimized crystal structure of BeCd2P. The functional is PBEsol.

- total magnetization (μB per formula unit) = 0.0

Cell: 3.9873 4.0385 4.2191 Å, 90.00 90.00 90.00°
Sites, in units of the cell vectors:
Be1 0.0000 0.0000 0.0000
Cd1 0.5000 0.0000 0.5000
Cd2 0.5000 0.5000 0.0000
P1 0.0000 0.5000 0.5000



Least stable = #x



#w
This record from Alexandria describes an optimized crystal structure of Be2CdP. The functional is PBEsol.

- total magnetization (μB per formula unit) = 0.0

Cell: 4.6039 4.6039 4.6039 Å, 137.63 119.85 76.31°
Sites, in units of the cell vectors:
Be1 0.2067 0.2067 0.0000
Be2 0.7933 0.7933 0.0000
Cd1 0.5000 0.0000 0.5000
P1 0.0000 0.5000 0.5000



#x
This record from Alexandria describes an optimized crystal structure of Be2CdP. The functional is PBEsol.

- total magnetization (μB per formula unit) = 0.0

Cell: 3.4380 5.4908 5.4908 Å, 36.40 90.00 90.00°
Sites, in units of the cell vectors:
Be1 0.0000 0.0000 0.0000
Be2 0.5000 0.4924 0.4924
Cd1 0.5000 0.8114 0.8114
P1 0.0000 0.6127 0.6127



Least stable = #w



#w
This record from Alexandria describes an optimized crystal structure of Be2CdP. The functional is PBEsol.

- total magnetization (μB per formula unit) = 0.0

Cell: 9.0678 9.0678 9.0678 Å, 17.14 17.14 17.14°
Sites, in units of the cell vectors:
Be1 0.0000 0.0000 0.0000
Be2 0.2694 0.2694 0.2694
Cd1 0.5152 0.5152 0.5152
P1 0.7304 0.7304 0.7304



#x
This record from Alexandria describes an optimized crystal structure of Be2CdP. The functional is PBEsol.

- total magnetization (μB per formula unit) = 0.0

Cell: 5.0549 5.0549 5.0549 Å, 139.46 139.46 58.68°
Sites, in units of the cell vectors:
Be1 0.0000 0.0000 0.0000
Be2 0.7500 0.2500 0.5000
Cd1 0.5000 0.5000 0.0000
P1 0.2500 0.7500 0.5000



Least stable = #x



#w
This record from Alexandria describes an optimized crystal structure of Be2CdPd2. The functional is PBEsol.

- total magnetization (μB per formula unit) = 0.0

Cell: 6.4901 6.4901 6.4901 Å, 149.92 149.92 43.05°
Sites, in units of the cell vectors:
Be1 0.2500 0.7500 0.5000
Be2 0.7500 0.2500 0.5000
Cd1 0.0000 0.0000 0.0000
Pd1 0.3803 0.3803 0.0000
Pd2 0.6197 0.6197 0.0000



#x
This record from Alexandria describes an optimized crystal structure of Be2CdPd2. The functional is PBEsol.

- total magnetization (μB per formula unit) = 0.0

Cell: 6.7126 6.7126 2.7930 Å, 90.00 90.00 90.00°
Sites, in units of the cell vectors:
Be1 0.1254 0.3746 0.0000
Be2 0.3746 0.8746 0.0000
Be3 0.6254 0.1254 0.0000
Be4 0.8746 0.6254 0.0000
Cd1 0.0000 0.0000 0.0000
Cd2 0.5000 0.5000 0.0000
Pd1 0.1617 0.6617 0.5000
Pd2 0.3383 0.1617 0.5000
Pd3 0.6617 0.8383 0.5000
Pd4 0.8383 0.3383 0.5000



Least stable = #w



#w
This record from Alexandria describes an optimized crystal structure of BeCdRu. The functional is PBEsol.

- total magnetization (μB per formula unit) = 0.0

Cell: 3.9222 3.9222 3.9222 Å, 60.00 60.00 60.00°
Sites, in units of the cell vectors:
Be1 0.0000 0.0000 0.0000
Cd1 0.7500 0.7500 0.7500
Ru1 0.2500 0.2500 0.2500



#x
This record from Alexandria describes an optimized crystal structure of BeCdRu. The functional is PBEsol.

- total magnetization (μB per formula unit) = 0.0

Cell: 5.1695 5.1695 5.1695 Å, 146.77 146.77 47.71°
Sites, in units of the cell vectors:
Be1 0.0000 0.0000 0.0000
Cd1 0.7020 0.7020 0.0000
Ru1 0.4055 0.4055 0.0000



Least stable = #w